A relaxed LaRhSe2 crystal, computed with GGA-PBE.

Unit cell a=3.880 b=3.795 c=6.391 alpha=90.00 beta=90.26 gamma=90.00
Fractional coordinates of all 4 atoms:
La1 0.000 0.000 0.000
Rh1 0.500 0.000 0.500
Se1 0.498 0.500 0.749
Se2 0.502 0.500 0.251

## Properties
crystal system = monoclinic
formation energy (no corrections) = -4.12 eV per formula unit